(1)
Here is a geometry-optimized AcPr2Zn structure from Alexandria. Energies are from PBE.

The space group is P4/mmm (No. 123) and the conventional cell measures 4.9880, 4.9880 and 5.1552 Å, with angles of 90.00, 90.00 and 90.00 degrees. Symmetry generates all atoms from Ac at (0.0000, 0.0000, 0.0000), Pr at (0.0000, 0.5000, 0.5000) and Zn at (0.5000, 0.5000, 0.0000).

As for the formation energy: 5 meV/atom.

***

(2)
Here is a geometry-optimized TlSi2SbRh structure from Alexandria. Energies are from PBE.

The space group is P4/mmm (No. 123) and the conventional cell measures 5.0051, 5.0051 and 5.6625 Å, with angles of 90.00, 90.00 and 90.00 degrees. Symmetry generates all atoms from Tl at (0.0000, 0.0000, 0.0000), Si at (0.0000, 0.5000, 0.0000), Sb at (0.0000, 0.0000, 0.5000) and Rh at (0.5000, 0.5000, 0.5000).

For the uncorrected formation energy, the calculation gives 821 kJ/mol of formula units.

***

(3)
Here is a geometry-optimized AcPuHgRh structure from Alexandria. Energies are from PBE.

The space group is F-43m (No. 216) and the conventional cell measures 7.4978, 7.4978 and 7.4978 Å, with angles of 90.00, 90.00 and 90.00 degrees. Symmetry generates all atoms from Ac at (0.0000, 0.0000, 0.0000), Pu at (0.0000, 0.0000, 0.5000), Hg at (0.2500, 0.2500, 0.2500) and Rh at (0.2500, 0.2500, 0.7500).

As for the formation energy: -252 meV/atom.

***

(4)
Here is a geometry-optimized LaZnNiGe2 structure from Alexandria. Energies are from PBE.

The space group is P4/mmm (No. 123) and the conventional cell measures 4.7087, 4.7087 and 4.4894 Å, with angles of 90.00, 90.00 and 90.00 degrees. Symmetry generates all atoms from La at (0.0000, 0.0000, 0.0000), Zn at (0.5000, 0.5000, 0.5000), Ni at (0.5000, 0.5000, 0.0000) and Ge at (0.0000, 0.5000, 0.5000).

As for the formation energy: 43 meV/atom.